Record 1
Crystalline Hf2AlBAu at its relaxed geometry, computed with PBE.

abc: 4.5454 4.5454 4.3059
angles: 90.00 90.00 90.00
Last column: nearest neighbours and their distance in Å.
Fractional positions:
1 Hf 0.0000 0.5000 0.0000  2 B 2.27
2 Hf 0.5000 0.0000 0.0000  2 B 2.27
3 Al 0.0000 0.0000 0.5000  8 Hf 3.13, 4 Au 3.21
4 B 0.5000 0.5000 0.0000  2 Au 2.15, 4 Hf 2.27
5 Au 0.5000 0.5000 0.5000  2 B 2.15

- calculated volume (Å³ per atom) = 17.8
- calculated total energy (eV/atom) = -6.8834
- M_tot (μB/f.u.) = 0.0
- DFT formation energy (eV/atom) = -0.163

=====

Record 2
Crystalline MgRe2W at its relaxed geometry, computed with PBE.

abc: 4.9629 4.9629 4.9629
angles: 133.88 133.88 67.28
Last column: nearest neighbours and their distance in Å.
Fractional positions:
1 Mg 0.0000 0.0000 0.0000  8 Re 2.75-2.84, 4 W 2.84
2 Re 0.2500 0.7500 0.5000  4 W 2.75, 4 Re 2.84, 4 Mg 2.84
3 Re 0.5000 0.5000 0.0000  4 Mg 2.75, 4 Re 2.84, 4 W 2.84
4 W 0.7500 0.2500 0.5000  8 Re 2.75-2.84, 4 Mg 2.84

- calculated volume (Å³ per atom) = 15.6
- calculated total energy (eV/atom) = -9.4384
- M_tot (μB/f.u.) = 0.0
- DFT formation energy (eV/atom) = 0.423

=====

Record 3
Crystalline AgSb2Br2 at its relaxed geometry, computed with PBE.

abc: 7.4895 7.4895 7.4895
angles: 142.53 142.53 54.04
Last column: nearest neighbours and their distance in Å.
Fractional positions:
1 Ag 0.0000 0.0000 0.0000  8 Sb 3.67
2 Sb 0.3978 0.3978 0.0000  1 Sb 2.73
3 Sb 0.6022 0.6022 0.0000  1 Sb 2.73
4 Br 0.2500 0.7500 0.5000  4 Sb 3.11, 4 Br 3.40
5 Br 0.7500 0.2500 0.5000  4 Sb 3.11, 4 Br 3.40

- calculated volume (Å³ per atom) = 30.9
- calculated total energy (eV/atom) = -2.5387
- M_tot (μB/f.u.) = 0.0
- energy above the lowest structure with this stoichiometry (eV per atom) = 0.519
- uncorrected formation energy (eV/atom) = 0.350

=====

Record 4
Crystalline Pr2ErMg5 at its relaxed geometry, computed with PBE.

abc: 8.7469 8.7469 8.7469
angles: 145.05 145.05 50.26
Last column: nearest neighbours and their distance in Å.
Fractional positions:
1 Pr 0.2414 0.2414 0.0000  8 Mg 3.32-3.50
2 Pr 0.7586 0.7586 0.0000  8 Mg 3.32-3.50
3 Er 0.5000 0.5000 0.0000  8 Mg 3.18
4 Mg 0.0000 0.0000 0.0000  8 Mg 3.18
5 Mg 0.1128 0.6128 0.5000  2 Mg 3.18, 2 Er 3.18, 4 Pr 3.32-3.50
6 Mg 0.3872 0.8872 0.5000  2 Er 3.18, 2 Mg 3.18, 4 Pr 3.32-3.50
7 Mg 0.6128 0.1128 0.5000  2 Mg 3.18, 2 Er 3.18, 4 Pr 3.32-3.50
8 Mg 0.8872 0.3872 0.5000  2 Er 3.18, 2 Mg 3.18, 4 Pr 3.32-3.50

- calculated volume (Å³ per atom) = 27.3
- calculated total energy (eV/atom) = -2.8335
- M_tot (μB/f.u.) = 0.0
- DFT formation energy (eV/atom) = -0.072

=====

Record 5
Crystalline La3YHoTm at its relaxed geometry, computed with PBE.

abc: 8.0797 5.1943 10.3039
angles: 90.00 108.77 90.00
Last column: nearest neighbours and their distance in Å.
Fractional positions:
1 La 0.1687 0.2500 0.0426  3 Tm 3.61-3.66, 1 Ho 3.63, 3 Y 3.66-3.67, 5 La 3.66-3.68
2 La 0.1695 0.2500 0.5418  3 Ho 3.59-3.62, 1 Tm 3.61, 3 Y 3.65-3.68, 5 La 3.66-3.67
3 La 0.1740 0.7500 0.7938  3 Tm 3.58-3.62, 1 Ho 3.61, 6 La 3.66-3.68, 2 Y 3.71
4 La 0.8260 0.2500 0.2062  3 Tm 3.58-3.62, 1 Ho 3.61, 6 La 3.66-3.68, 2 Y 3.71
5 La 0.8305 0.7500 0.4582  3 Ho 3.59-3.62, 1 Tm 3.61, 3 Y 3.65-3.68, 5 La 3.66-3.67
6 La 0.8313 0.7500 0.9574  3 Tm 3.61-3.66, 1 Ho 3.63, 3 Y 3.66-3.67, 5 La 3.66-3.68
7 Y 0.1729 0.7500 0.2934  1 Tm 3.56, 3 Ho 3.56-3.61, 8 La 3.65-3.71
8 Y 0.8271 0.2500 0.7066  1 Tm 3.56, 3 Ho 3.56-3.61, 8 La 3.65-3.71
9 Ho 0.5002 0.2500 0.3777  3 Y 3.56-3.61, 5 La 3.59-3.63, 2 Ho 3.62, 2 Tm 3.66
10 Ho 0.4998 0.7500 0.6223  3 Y 3.56-3.61, 5 La 3.59-3.63, 2 Ho 3.62, 2 Tm 3.66
11 Tm 0.4966 0.7500 0.1265  1 Y 3.56, 7 La 3.58-3.66, 2 Ho 3.66, 2 Tm 3.69
12 Tm 0.5034 0.2500 0.8735  1 Y 3.56, 7 La 3.58-3.66, 2 Ho 3.66, 2 Tm 3.69

- calculated volume (Å³ per atom) = 34.1
- calculated total energy (eV/atom) = -5.0139
- M_tot (μB/f.u.) = 0.0
- DFT formation energy (eV/atom) = 0.035

=====

Record 6
Crystalline Sn2Bi4Pb3 at its relaxed geometry, computed with PBE.

abc: 10.5409 10.5409 5.7682
angles: 97.49 97.49 64.73
Last column: nearest neighbours and their distance in Å.
Fractional positions:
1 Sn 0.0133 0.7610 0.6910  4 Bi 3.24-3.35, 4 Pb 3.32-3.57
2 Sn 0.2390 0.9867 0.8090  4 Bi 3.24-3.35, 4 Pb 3.32-3.57
3 Sn 0.7610 0.0133 0.1910  4 Bi 3.24-3.35, 4 Pb 3.32-3.57
4 Sn 0.9867 0.2390 0.3090  4 Bi 3.24-3.35, 4 Pb 3.32-3.57
5 Bi 0.0652 0.3381 0.8592  3 Sn 3.24-3.35, 1 Bi 3.36, 4 Pb 3.38-3.56
6 Bi 0.3242 0.5770 0.9586  3 Bi 3.19-3.55, 1 Sn 3.30, 3 Pb 3.39-3.50
7 Bi 0.3381 0.0652 0.3592  3 Sn 3.24-3.35, 1 Bi 3.36, 4 Pb 3.38-3.56
8 Bi 0.4230 0.6758 0.5414  3 Bi 3.19-3.55, 1 Sn 3.30, 3 Pb 3.39-3.50
9 Bi 0.5770 0.3242 0.4586  3 Bi 3.19-3.55, 1 Sn 3.30, 3 Pb 3.39-3.50
10 Bi 0.6619 0.9348 0.6408  3 Sn 3.24-3.35, 1 Bi 3.36, 4 Pb 3.38-3.56
11 Bi 0.6758 0.4230 0.0414  3 Bi 3.19-3.55, 1 Sn 3.30, 3 Pb 3.39-3.50
12 Bi 0.9348 0.6619 0.1408  3 Sn 3.24-3.35, 1 Bi 3.36, 4 Pb 3.38-3.56
13 Pb 0.1098 0.8902 0.2500  6 Sn 3.32-3.53, 4 Bi 3.47-3.56
14 Pb 0.2254 0.4187 0.4370  6 Bi 3.38-3.70, 2 Sn 3.57-3.70, 2 Pb 3.62
15 Pb 0.4187 0.2254 0.9370  6 Bi 3.38-3.70, 2 Sn 3.57-3.70, 2 Pb 3.62
16 Pb 0.5813 0.7746 0.0630  6 Bi 3.38-3.70, 2 Sn 3.57-3.70, 2 Pb 3.62
17 Pb 0.7746 0.5813 0.5630  6 Bi 3.38-3.70, 2 Sn 3.57-3.70, 2 Pb 3.62
18 Pb 0.8902 0.1098 0.7500  6 Sn 3.32-3.53, 4 Bi 3.47-3.56

- calculated volume (Å³ per atom) = 31.8
- calculated total energy (eV/atom) = -3.7809
- M_tot (μB/f.u.) = 0.0
- energy above the lowest structure with this stoichiometry (eV per atom) = 0.008
- DFT formation energy (eV/atom) = 0.070

=====

Record 7
Crystalline Re2PI at its relaxed geometry, computed with PBE.

abc: 8.4505 8.4505 8.4505
angles: 149.33 149.33 43.93
Last column: nearest neighbours and their distance in Å.
Fractional positions:
1 Re 0.0381 0.6250 0.9131  2 P 2.37
2 Re 0.3750 0.2881 0.4131  2 P 2.37
3 Re 0.7119 0.1250 0.0869  2 P 2.37
4 Re 0.8750 0.9619 0.5869  2 P 2.37
5 P 0.0000 0.0000 0.0000  4 Re 2.37
6 P 0.7500 0.2500 0.5000  4 Re 2.37
7 I 0.2500 0.7500 0.5000  4 Re 2.71
8 I 0.5000 0.5000 0.0000  4 Re 2.71

- calculated volume (Å³ per atom) = 19.6
- calculated total energy (eV/atom) = -7.1600
- M_tot (μB/f.u.) = 0.0
- energy above the lowest structure with this stoichiometry (eV per atom) = 0.000
- uncorrected formation energy (eV/atom) = 0.804

=====

Record 8
Crystalline ZrCu2Sb at its relaxed geometry, computed with PBE.

abc: 10.1107 10.1107 10.1107
angles: 157.09 157.09 32.62
Last column: nearest neighbours and their distance in Å.
Fractional positions:
1 Zr 0.0000 0.0000 0.0000  4 Cu 2.82, 4 Sb 2.84
2 Zr 0.7500 0.2500 0.5000  4 Cu 2.82, 4 Sb 2.84
3 Cu 0.1320 0.6250 0.0070  4 Cu 2.80-2.88, 2 Sb 2.80, 2 Zr 2.82
4 Cu 0.3750 0.3820 0.5070  4 Cu 2.80-2.88, 2 Sb 2.80, 2 Zr 2.82
5 Cu 0.6180 0.1250 0.9930  4 Cu 2.80-2.88, 2 Sb 2.80, 2 Zr 2.82
6 Cu 0.8750 0.8680 0.4930  4 Cu 2.80-2.88, 2 Sb 2.80, 2 Zr 2.82
7 Sb 0.2500 0.7500 0.5000  4 Cu 2.80, 4 Zr 2.84
8 Sb 0.5000 0.5000 0.0000  4 Cu 2.80, 4 Zr 2.84

- calculated volume (Å³ per atom) = 19.6
- calculated total energy (eV/atom) = -5.1337
- M_tot (μB/f.u.) = 0.0
- uncorrected formation energy (eV/atom) = 0.082

=====

Record 9
Crystalline Ca3Pt8Au at its relaxed geometry, computed with PBE.

abc: 9.3602 9.3602 9.3602
angles: 33.62 33.62 33.62
Last column: nearest neighbours and their distance in Å.
Fractional positions:
1 Ca 0.0000 0.0000 0.0000  12 Pt 3.17-3.18, 4 Ca 3.39-3.42
2 Ca 0.1293 0.1293 0.1293  12 Pt 3.06-3.24, 3 Au 3.25, 1 Ca 3.42
3 Ca 0.6173 0.6173 0.6173  12 Pt 3.08-3.34, 1 Au 3.19, 3 Ca 3.39
4 Pt 0.0619 0.0619 0.5621  6 Pt 2.70-2.71
5 Pt 0.0619 0.5621 0.0619  6 Pt 2.70-2.71
6 Pt 0.0631 0.5617 0.5617  6 Pt 2.70-2.71
7 Pt 0.3120 0.3120 0.3120  6 Pt 2.70
8 Pt 0.5621 0.0619 0.0619  6 Pt 2.70-2.71
9 Pt 0.5617 0.0631 0.5617  6 Pt 2.70-2.71
10 Pt 0.5617 0.5617 0.0631  6 Pt 2.70-2.71
11 Pt 0.8122 0.8122 0.8122  6 Pt 2.70-2.71
12 Au 0.4968 0.4968 0.4968  12 Pt 3.10-3.21, 4 Ca 3.19-3.25

- calculated volume (Å³ per atom) = 18.7
- calculated total energy (eV/atom) = -5.5425
- M_tot (μB/f.u.) = 0.0
- DFT formation energy (eV/atom) = -0.742

=====

- calculated volume of number 9 (Ca3Pt8Au)?
  18.7 Å³ per atom

=====

- calculated total energy of number 3 (AgSb2Br2)?
  -2.5387 eV/atom